Cr2CuF GGA+U optimized geometry; E_tot = -5.311 eV per atom; size of the total moment = 2.478 μB per atom
1.0
0.000 3.137 3.137
3.137 0.000 3.137
3.137 3.137 0.000
Cr Cu F
2 1 1
Cartesian
1.568 1.568 1.568
4.705 4.705 4.705
0.000 0.000 0.000
3.137 3.137 3.137